Entry 1:
First-principles (PBE) data for a geometry-optimized Pa2Mn3Si5 structure, as listed in the Alexandria database.

Geometry as extended XYZ:
```
20
Lattice="-1.3140 -2.8393 4.4386 -5.9253 -5.1803 -1.7459 3.1954 -7.3873 -0.4576" Properties=species:S:1:pos:R:3 pbc="T T T"
Mn -2.6817 -6.0607 1.9731
Mn -1.3621 -9.3462 0.2621
Mn -3.7557 -10.3456 2.2361
Si -2.7627 -11.2458 0.2933
Si -5.8284 -9.3220 2.2773
Mn -0.2881 -5.0613 -0.0009
Si -4.9012 -6.0457 1.3256
Si 1.7846 -6.0849 -0.0421
Pa -4.3020 -8.5431 -0.0945
Si 0.8574 -9.3612 0.9096
Pa -0.7901 -10.9715 2.7137
Mn -0.3285 -0.7098 1.1097
Pa -3.2538 -4.4354 -0.4785
Si -2.3504 -8.4133 2.2272
Si -1.2812 -4.1611 1.9419
Si -3.4197 -12.6654 2.5126
Si -1.6934 -6.9936 0.0079
Mn -0.9855 -2.1295 3.3290
Si -0.6242 -2.7415 -0.2775
Pa 0.2581 -6.8638 2.3297
```

Properties
The value obtained for the total magnetic moment is 0.73 μB/f.u. For the density of states at the Fermi level, the calculation gives 14.29 states/eV/cell. Its raw formation energy is -0.600 eV/atom. As for the symmetry: No. 72.

Entry 2:
First-principles (PBE) data for a geometry-optimized HfMgAs2Br structure, as listed in the Alexandria database.

Geometry as extended XYZ:
```
5
Lattice="4.9679 0.0000 0.0000 0.0000 4.9679 0.0000 0.0000 0.0000 4.8783" Properties=species:S:1:pos:R:3 pbc="T T T"
As 0.0000 2.4839 0.0000
Hf 2.4839 2.4839 2.4391
Mg 0.0000 0.0000 0.0000
As 2.4839 0.0000 0.0000
Br 0.0000 0.0000 2.4391
```

Properties
The value obtained for the total magnetic moment is 0.00 μB/f.u. For the density of states at the Fermi level, the calculation gives 4.37 states/eV/cell. Its raw formation energy is 0.433 eV/atom. As for the symmetry: No. 123.

What did the second record say?
First-principles (PBE) data for a geometry-optimized HfMgAs2Br structure, as listed in the Alexandria database.

Geometry as extended XYZ:
```
5
Lattice="4.9679 0.0000 0.0000 0.0000 4.9679 0.0000 0.0000 0.0000 4.8783" Properties=species:S:1:pos:R:3 pbc="T T T"
As 0.0000 2.4839 0.0000
Hf 2.4839 2.4839 2.4391
Mg 0.0000 0.0000 0.0000
As 2.4839 0.0000 0.0000
Br 0.0000 0.0000 2.4391
```

Properties
The value obtained for the total magnetic moment is 0.00 μB/f.u. For the density of states at the Fermi level, the calculation gives 4.37 states/eV/cell. Its raw formation energy is 0.433 eV/atom. As for the symmetry: No. 123.